[1]
A geometry-optimized As2SN structure, computed with PBE-GGA.

CIF file:
```
data_As2SN
_chemical_formula_sum 'As8 S4 N4'
_space_group_name_H-M_alt 'F m -3 m'
_space_group_IT_number 225
_space_group_name_Hall '-F 4 2 3'
_cell_length_a 6.1486
_cell_length_b 6.1486
_cell_length_c 6.1486
_cell_angle_alpha 90.00
_cell_angle_beta 90.00
_cell_angle_gamma 90.00
loop_
_atom_site_label
_atom_site_fract_x
_atom_site_fract_y
_atom_site_fract_z
As1 0.2500 0.2500 0.2500
S1 0.0000 0.0000 0.0000
N1 0.0000 0.0000 0.5000
```

ΔE_f (raw) ... 467 kJ/mol of formula units
Total energy ... -4.23 eV per atom

=====

[2]
A geometry-optimized ScAu2 structure, computed with PBE-GGA.

CIF file:
```
data_ScAu2
_chemical_formula_sum 'Sc2 Au4'
_space_group_name_H-M_alt 'P 63/m m c'
_space_group_IT_number 194
_space_group_name_Hall '-P 6c 2c'
_cell_length_a 4.7625
_cell_length_b 4.7625
_cell_length_c 5.8105
_cell_angle_alpha 90.00
_cell_angle_beta 90.00
_cell_angle_gamma 120.00
loop_
_atom_site_label
_atom_site_fract_x
_atom_site_fract_y
_atom_site_fract_z
Sc1 0.3333 0.6667 0.2500
Au1 0.0000 0.0000 0.0000
Au2 0.3333 0.6667 0.7500
```

Energy relative to the elements ... -0.701 eV per atom
Total energy ... -5.00 eV per atom

=====

[3]
A geometry-optimized Ce2IrRu3 structure, computed with PBE-GGA.

CIF file:
```
data_Ce2IrRu3
_chemical_formula_sum 'Ce6 Ir3 Ru9'
_space_group_name_H-M_alt 'R -3 m'
_space_group_IT_number 166
_space_group_name_Hall '-R 3 2"'
_cell_length_a 5.2984
_cell_length_b 5.2984
_cell_length_c 13.4947
_cell_angle_alpha 90.00
_cell_angle_beta 90.00
_cell_angle_gamma 120.00
loop_
_atom_site_label
_atom_site_fract_x
_atom_site_fract_y
_atom_site_fract_z
Ce1 0.0000 0.0000 0.1234
Ir1 0.0000 0.0000 0.5000
Ru1 0.0000 0.5000 0.0000
```

Energy relative to the elements ... -0.414 eV per atom
Total energy ... -8.51 eV per atom

=====

[4]
A geometry-optimized Ca2HgBiN structure, computed with PBE-GGA.

CIF file:
```
data_Ca2HgBiN
_chemical_formula_sum 'Ca2 Hg1 Bi1 N1'
_space_group_name_H-M_alt 'P 4/m m m'
_space_group_IT_number 123
_space_group_name_Hall '-P 4 2'
_cell_length_a 4.8813
_cell_length_b 4.8813
_cell_length_c 4.9767
_cell_angle_alpha 90.00
_cell_angle_beta 90.00
_cell_angle_gamma 90.00
loop_
_atom_site_label
_atom_site_fract_x
_atom_site_fract_y
_atom_site_fract_z
Ca1 0.0000 0.5000 0.0000
Hg1 0.0000 0.0000 0.5000
Bi1 0.5000 0.5000 0.5000
N1 0.5000 0.5000 0.0000
```

ΔE_f (raw) ... -217 kJ/mol of formula units
Total energy ... -3.75 eV per atom

=====

[5]
A geometry-optimized AlP2Cl structure, computed with PBE-GGA.

CIF file:
```
data_AlP2Cl
_chemical_formula_sum 'Al4 P8 Cl4'
_space_group_name_H-M_alt 'F -4 3 m'
_space_group_IT_number 216
_space_group_name_Hall 'F -4 2 3'
_cell_length_a 6.3765
_cell_length_b 6.3765
_cell_length_c 6.3765
_cell_angle_alpha 90.00
_cell_angle_beta 90.00
_cell_angle_gamma 90.00
loop_
_atom_site_label
_atom_site_fract_x
_atom_site_fract_y
_atom_site_fract_z
Al1 0.0000 0.0000 0.0000
P1 0.0000 0.0000 0.5000
P2 0.2500 0.2500 0.2500
Cl1 0.2500 0.2500 0.7500
```

ΔE_f (raw) ... 158 kJ/mol of formula units
Total energy ... -3.69 eV per atom

=====

[6]
A geometry-optimized SmDyTl structure, computed with PBE-GGA.

CIF file:
```
data_SmDyTl
_chemical_formula_sum 'Sm2 Dy2 Tl2'
_space_group_name_H-M_alt 'P 1 21/m 1'
_space_group_IT_number 11
_space_group_name_Hall '-P 2yb'
_cell_length_a 3.5085
_cell_length_b 4.5080
_cell_length_c 11.5730
_cell_angle_alpha 90.00
_cell_angle_beta 90.00
_cell_angle_gamma 90.00
loop_
_atom_site_label
_atom_site_fract_x
_atom_site_fract_y
_atom_site_fract_z
Sm1 0.0013 0.2500 0.1149
Dy1 0.0001 0.2500 0.3913
Tl1 0.4998 0.2500 0.7386
```

Energy relative to the elements ... -0.040 eV per atom
Total energy ... -3.94 eV per atom

=====

[7]
A geometry-optimized Rb2Sr3Cl8 structure, computed with PBE-GGA.

CIF file:
```
data_Rb2Sr3Cl8
_chemical_formula_sum 'Rb4 Sr6 Cl16'
_space_group_name_H-M_alt 'C 1 2/m 1'
_space_group_IT_number 12
_space_group_name_Hall '-C 2y'
_cell_length_a 15.9500
_cell_length_b 8.8807
_cell_length_c 7.5421
_cell_angle_alpha 90.00
_cell_angle_beta 110.09
_cell_angle_gamma 90.00
loop_
_atom_site_label
_atom_site_fract_x
_atom_site_fract_y
_atom_site_fract_z
Rb1 0.2250 0.0000 0.1559
Sr1 0.0000 0.2420 0.5000
Sr2 0.0000 0.5000 0.0000
Cl1 0.0995 0.5000 0.4097
Cl2 0.1086 0.0000 0.4439
Cl3 0.1087 0.2792 0.8943
```

ΔE_f (raw) ... -2911 kJ/mol of formula units
Total energy ... -3.99 eV per atom

=====

[8]
A geometry-optimized Dy4CoIr structure, computed with PBE-GGA.

CIF file:
```
data_Dy4CoIr
_chemical_formula_sum 'Dy16 Co4 Ir4'
_space_group_name_H-M_alt 'I 41 m d'
_space_group_IT_number 109
_space_group_name_Hall 'I 4bw -2'
_cell_length_a 9.0558
_cell_length_b 9.0558
_cell_length_c 8.1523
_cell_angle_alpha 90.00
_cell_angle_beta 90.00
_cell_angle_gamma 90.00
loop_
_atom_site_label
_atom_site_fract_x
_atom_site_fract_y
_atom_site_fract_z
Dy1 0.0000 0.1965 0.0000
Dy2 0.0000 0.2029 0.4862
Co1 0.0000 0.0000 0.2455
Ir1 0.0000 0.0000 0.7405
```

Energy relative to the elements ... -0.355 eV per atom
Total energy ... -6.08 eV per atom

=====

[9]
A geometry-optimized Zr4Mn5 structure, computed with PBE-GGA.

CIF file:
```
data_Zr4Mn5
_chemical_formula_sum 'Zr8 Mn10'
_space_group_name_H-M_alt 'P 63/m c m'
_space_group_IT_number 193
_space_group_name_Hall '-P 6c 2'
_cell_length_a 8.0523
_cell_length_b 8.0523
_cell_length_c 5.5583
_cell_angle_alpha 90.00
_cell_angle_beta 90.00
_cell_angle_gamma 120.00
loop_
_atom_site_label
_atom_site_fract_x
_atom_site_fract_y
_atom_site_fract_z
Zr1 0.0000 0.0000 0.0000
Zr2 0.0000 0.3625 0.2500
Mn1 0.0000 0.3166 0.7500
Mn2 0.3333 0.6667 0.0000
```

Energy relative to the elements ... 0.152 eV per atom
Total energy ... -8.74 eV per atom

=====

[10]
A geometry-optimized Tl2Tc2Pd structure, computed with PBE-GGA.

CIF file:
```
data_Tl2Tc2Pd
_chemical_formula_sum 'Tl4 Tc4 Pd2'
_space_group_name_H-M_alt 'P 4/m b m'
_space_group_IT_number 127
_space_group_name_Hall '-P 4 2ab'
_cell_length_a 6.7522
_cell_length_b 6.7522
_cell_length_c 4.3126
_cell_angle_alpha 90.00
_cell_angle_beta 90.00
_cell_angle_gamma 90.00
loop_
_atom_site_label
_atom_site_fract_x
_atom_site_fract_y
_atom_site_fract_z
Tl1 0.1850 0.3150 0.0000
Tc1 0.1183 0.6183 0.5000
Pd1 0.0000 0.0000 0.5000
```

Energy relative to the elements ... 0.556 eV per atom
Total energy ... -5.58 eV per atom